VASP calculation (GGA+U) on crystalline TaNiWO2 at its relaxed geometry.

Cell and atoms, written as POSCAR:
```
TaNiWO2
1.0
-3.621 0.450 1.021
-0.504 -5.286 0.541
1.057 0.270 3.628
W Ni Ta O
1 1 1 2
Direct
0.000 0.000 0.000 W
0.000 0.500 0.000 Ni
0.500 0.500 0.500 Ta
0.000 0.000 0.500 O
0.500 0.000 0.000 O
```

Values from the calculation:
SG: P4/mmm, No. 123
VASP energy: -6.180 eV per atom